Entry 1:
BaBiIN2 | Alexandria | PBE | optimized geometry; energy relative to the lowest polymorph listed for this composition = 751.9 meV per atom; SG = No. 123; uncorrected formation energy = 1.380 eV per atom; raw total energy = -3.420 eV/atom
1.0
4.837 0.000 0.000
0.000 4.837 0.000
0.000 0.000 6.813
Ba Bi I N
1 1 1 2
direct
0.000 0.000 0.000 Ba
0.500 0.500 0.500 Bi
0.000 0.000 0.500 I
0.000 0.500 0.000 N
0.500 0.000 0.000 N

Entry 2:
BaBiI2N | Alexandria | PBE | optimized geometry; energy relative to the lowest polymorph listed for this composition = 0.0 meV per atom; SG = No. 123; uncorrected formation energy = -0.129 eV per atom; raw total energy = -3.575 eV/atom
1.0
6.526 0.000 0.000
0.000 6.526 0.000
0.000 0.000 4.327
Ba Bi I N
1 1 2 1
direct
0.000 0.000 0.000 Ba
0.500 0.500 0.500 Bi
0.000 0.500 0.500 I
0.500 0.000 0.500 I
0.500 0.500 0.000 N

Entry 3:
BaBiI2N | Alexandria | PBE | optimized geometry; energy relative to the lowest polymorph listed for this composition = 602.5 meV per atom; SG = No. 123; uncorrected formation energy = 0.474 eV per atom; raw total energy = -2.972 eV/atom
1.0
6.720 0.000 0.000
0.000 6.720 0.000
0.000 0.000 4.409
Ba Bi I N
1 1 2 1
direct
0.000 0.000 0.000 Ba
0.500 0.500 0.500 Bi
0.000 0.500 0.000 I
0.500 0.000 0.000 I
0.000 0.000 0.500 N

Entry 4:
Ba2Na2Bi2I | Alexandria | PBE | optimized geometry; SG = No. 139; uncorrected formation energy = -0.661 eV per atom; raw total energy = -2.918 eV/atom
1.0
-2.756 2.756 9.704
2.756 -2.756 9.704
2.756 2.756 -9.704
Ba Na Bi I
2 2 2 1
direct
0.179 0.179 0.000 Ba
0.821 0.821 0.000 Ba
0.000 0.500 0.500 Na
0.500 0.000 0.500 Na
0.364 0.364 0.000 Bi
0.636 0.636 0.000 Bi
0.000 0.000 0.000 I

Entry 5:
Ba7Bi2IO2 | Alexandria | PBE | optimized geometry; SG = No. 12; uncorrected formation energy = -1.334 eV per atom; raw total energy = -4.058 eV/atom
1.0
3.916 -3.916 0.000
3.916 3.916 0.000
-3.896 0.000 14.325
Ba Bi I O
7 2 1 2
direct
0.000 0.000 0.000 Ba
0.096 0.596 0.192 Ba
0.197 0.197 0.396 Ba
0.404 0.904 0.808 Ba
0.596 0.096 0.192 Ba
0.803 0.803 0.604 Ba
0.904 0.404 0.808 Ba
0.323 0.323 0.646 Bi
0.677 0.677 0.354 Bi
0.500 0.500 0.000 I
0.096 0.096 0.192 O
0.904 0.904 0.808 O

Entry 6:
Ba5Bi2IO | Alexandria | PBE | optimized geometry; SG = No. 123; uncorrected formation energy = -1.367 eV per atom; raw total energy = -4.021 eV/atom
1.0
5.329 0.000 0.000
0.000 5.329 0.000
0.000 0.000 12.851
Ba Bi I O
5 2 1 1
direct
0.000 0.000 0.000 Ba
0.000 0.500 0.500 Ba
0.500 0.000 0.500 Ba
0.500 0.500 0.266 Ba
0.500 0.500 0.734 Ba
0.000 0.000 0.291 Bi
0.000 0.000 0.709 Bi
0.500 0.500 0.000 I
0.500 0.500 0.500 O

Entry 7:
BaBi4I2O4 | Alexandria | PBE | optimized geometry; SG = No. 139; uncorrected formation energy = -1.005 eV per atom; raw total energy = -4.676 eV/atom
1.0
-2.039 2.039 17.313
2.039 -2.039 17.313
2.039 2.039 -17.313
Ba Bi I O
1 4 2 4
direct
0.000 0.000 0.000 Ba
0.275 0.275 0.000 Bi
0.419 0.419 0.000 Bi
0.581 0.581 0.000 Bi
0.725 0.725 0.000 Bi
0.166 0.166 0.000 I
0.834 0.834 0.000 I
0.054 0.554 0.500 O
0.446 0.946 0.500 O
0.554 0.054 0.500 O
0.946 0.446 0.500 O

Entry 8:
BaBiOs2I | Alexandria | PBE | optimized geometry; SG = No. 123; uncorrected formation energy = 1.285 eV per atom; raw total energy = -4.678 eV/atom
1.0
5.090 0.000 0.000
0.000 5.090 0.000
0.000 0.000 6.523
Ba Bi Os I
1 1 2 1
direct
0.000 0.000 0.000 Ba
0.500 0.500 0.500 Bi
0.000 0.500 0.500 Os
0.500 0.000 0.500 Os
0.500 0.500 0.000 I

Entry 9:
Ba6BiP2I3 | Alexandria | PBE | optimized geometry; SG = No. 12; uncorrected formation energy = -1.378 eV per atom; raw total energy = -3.952 eV/atom
1.0
11.007 -2.445 0.000
11.007 2.445 0.000
-2.796 0.000 9.776
Ba Bi P I
6 1 2 3
direct
0.017 0.017 0.244 Ba
0.321 0.321 0.445 Ba
0.336 0.336 0.878 Ba
0.664 0.664 0.122 Ba
0.679 0.679 0.555 Ba
0.983 0.983 0.756 Ba
0.500 0.500 0.000 Bi
0.170 0.170 0.339 P
0.830 0.830 0.661 P
0.165 0.165 0.831 I
0.500 0.500 0.500 I
0.835 0.835 0.169 I

Entry 10:
Ba8Bi3PI4 | Alexandria | PBE | optimized geometry; SG = No. 166; uncorrected formation energy = -1.327 eV per atom; raw total energy = -3.742 eV/atom
1.0
5.060 2.922 8.426
-5.060 2.922 8.426
0.000 -5.843 8.426
Ba Bi P I
8 3 1 4
direct
0.240 0.240 0.240 Ba
0.254 0.729 0.729 Ba
0.271 0.271 0.746 Ba
0.271 0.746 0.271 Ba
0.729 0.254 0.729 Ba
0.729 0.729 0.254 Ba
0.746 0.271 0.271 Ba
0.760 0.760 0.760 Ba
0.000 0.000 0.500 Bi
0.000 0.500 0.000 Bi
0.500 0.000 0.000 Bi
0.500 0.500 0.500 P
0.000 0.000 0.000 I
0.000 0.500 0.500 I
0.500 0.000 0.500 I
0.500 0.500 0.000 I

Entry 11:
Ba6Bi2PI3 | Alexandria | PBE | optimized geometry; SG = No. 12; uncorrected formation energy = -1.342 eV per atom; raw total energy = -3.789 eV/atom
1.0
4.356 -7.543 0.000
4.356 7.543 0.000
-2.908 0.000 8.432
Ba Bi P I
6 2 1 3
direct
0.071 0.383 0.211 Ba
0.242 0.242 0.789 Ba
0.383 0.071 0.211 Ba
0.617 0.929 0.789 Ba
0.758 0.758 0.211 Ba
0.929 0.617 0.789 Ba
0.333 0.667 0.000 Bi
0.667 0.333 0.000 Bi
0.000 0.000 0.000 P
0.167 0.833 0.500 I
0.500 0.500 0.500 I
0.833 0.167 0.500 I

Entry 12:
Ba6Bi2PbI3 | Alexandria | PBE | optimized geometry; SG = No. 12; uncorrected formation energy = -1.176 eV per atom; raw total energy = -3.481 eV/atom
1.0
11.292 -2.531 0.000
11.292 2.531 0.000
-2.544 0.000 10.141
Ba Bi Pb I
6 2 1 3
direct
0.005 0.005 0.240 Ba
0.326 0.326 0.433 Ba
0.339 0.339 0.901 Ba
0.661 0.661 0.099 Ba
0.674 0.674 0.567 Ba
0.995 0.995 0.760 Ba
0.166 0.166 0.333 Bi
0.834 0.834 0.667 Bi
0.500 0.500 0.000 Pb
0.168 0.168 0.832 I
0.500 0.500 0.500 I
0.832 0.832 0.168 I